# 1
# NaInAgHg

NaInAgHg after structural relaxation (PBE, the Alexandria database).

Unit cell a=5.022 b=5.022 c=5.022 alpha=60.00 beta=60.00 gamma=60.00
Fractional positions:
1 Na 0.000 0.000 0.000
2 In 0.500 0.500 0.500
3 Ag 0.250 0.250 0.250
4 Hg 0.750 0.750 0.750

Computed properties:
VASP energy (eV/atom): -1.9091
Symmetry: No. 216
N(E_F) (states/eV/f.u.): 1.5

***

# 2
# CdTe2

CdTe2 after structural relaxation (PBE, the Alexandria database).

Unit cell a=6.957 b=6.957 c=6.167 alpha=90.00 beta=90.00 gamma=143.22
Fractional positions:
1 Cd 0.164 0.836 0.750
2 Cd 0.836 0.164 0.250
3 Te 0.184 0.816 0.250
4 Te 0.490 0.510 0.250
5 Te 0.510 0.490 0.750
6 Te 0.816 0.184 0.750

Computed properties:
Formation energy from raw total energies (meV/atom): -129
Symmetry: No. 63
N(E_F) (states/eV/f.u.): 1.8

***

# 3
# PrTm2ThSc

PrTm2ThSc after structural relaxation (PBE, the Alexandria database).

Unit cell a=6.179 b=5.656 c=9.359 alpha=90.00 beta=109.22 gamma=90.00
Fractional positions:
1 Pr 0.238 0.250 0.308
2 Pr 0.762 0.750 0.692
3 Tm 0.039 0.250 0.897
4 Tm 0.422 0.250 0.698
5 Tm 0.578 0.750 0.302
6 Tm 0.961 0.750 0.103
7 Th 0.373 0.750 0.903
8 Th 0.627 0.250 0.097
9 Sc 0.159 0.750 0.508
10 Sc 0.841 0.250 0.492

Computed properties:
VASP energy (eV/atom): -5.4446
Symmetry: No. 11
N(E_F) (states/eV/f.u.): 7.5

***

# 4
# NaAg3Sb3

NaAg3Sb3 after structural relaxation (PBE, the Alexandria database).

Unit cell a=7.695 b=7.695 c=7.695 alpha=90.00 beta=90.00 gamma=90.00
Fractional positions:
1 Na 0.000 0.000 0.000
2 Na 0.500 0.500 0.500
3 Ag 0.000 0.250 0.500
4 Ag 0.000 0.750 0.500
5 Ag 0.250 0.500 0.000
6 Ag 0.500 0.000 0.250
7 Ag 0.500 0.000 0.750
8 Ag 0.750 0.500 0.000
9 Sb 0.000 0.500 0.250
10 Sb 0.000 0.500 0.750
11 Sb 0.250 0.000 0.500
12 Sb 0.500 0.250 0.000
13 Sb 0.500 0.750 0.000
14 Sb 0.750 0.000 0.500

Computed properties:
Formation energy from raw total energies (meV/atom): 206
Energy relative to the lowest polymorph listed for this composition (kJ/mol of formula units): 97.4
Symmetry: No. 223
N(E_F) (states/eV/f.u.): 4.8

***

# 5
# K4TlAu3

K4TlAu3 after structural relaxation (PBE, the Alexandria database).

Unit cell a=4.797 b=4.813 c=12.398 alpha=90.00 beta=90.00 gamma=90.00
Fractional positions:
1 K 0.000 0.000 0.000
2 K 0.000 0.500 0.262
3 K 0.500 0.000 0.465
4 K 0.500 0.500 0.785
5 Tl 0.000 0.000 0.686
6 Au 0.000 0.500 0.562
7 Au 0.500 0.000 0.195
8 Au 0.500 0.500 0.060

Computed properties:
VASP energy (eV/atom): -2.3266
Symmetry: No. 25
N(E_F) (states/eV/f.u.): 3.2

***

# 6
# SiOsAu4

SiOsAu4 after structural relaxation (PBE, the Alexandria database).

Unit cell a=5.419 b=5.419 c=5.419 alpha=60.00 beta=60.00 gamma=60.00
Fractional positions:
1 Si 0.000 0.000 0.000
2 Os 0.250 0.250 0.250
3 Au 0.125 0.625 0.625
4 Au 0.625 0.125 0.625
5 Au 0.625 0.625 0.125
6 Au 0.625 0.625 0.625

Computed properties:
Formation energy from raw total energies (meV/atom): 945
Symmetry: No. 216
N(E_F) (states/eV/f.u.): 6.0

***

# 7
# GdErNi

GdErNi after structural relaxation (PBE, the Alexandria database).

Unit cell a=3.916 b=3.916 c=6.152 alpha=90.00 beta=90.00 gamma=120.00
Fractional positions:
1 Gd 0.000 0.000 0.000
2 Er 0.333 0.667 0.483
3 Ni 0.667 0.333 0.250

Computed properties:
Energy relative to the lowest polymorph listed for this composition (kJ/mol of formula units): 23.4
Symmetry: No. 156
N(E_F) (states/eV/f.u.): 2.5

***

# 8
# Pm2PrSm2Er

Pm2PrSm2Er after structural relaxation (PBE, the Alexandria database).

Unit cell a=5.737 b=9.942 c=7.079 alpha=90.00 beta=90.00 gamma=90.00
Fractional positions:
1 Pm 0.000 0.162 0.000
2 Pm 0.000 0.838 0.500
3 Pm 0.500 0.329 0.500
4 Pm 0.500 0.671 0.000
5 Pr 0.000 0.500 0.250
6 Pr 0.000 0.500 0.750
7 Sm 0.000 0.170 0.500
8 Sm 0.000 0.830 0.000
9 Sm 0.500 0.000 0.250
10 Sm 0.500 0.000 0.750
11 Er 0.500 0.335 0.000
12 Er 0.500 0.665 0.500

Computed properties:
VASP energy (eV/atom): -4.6549
Symmetry: No. 26
N(E_F) (states/eV/f.u.): 8.6

***

# 9
# TlCd2Cu2

TlCd2Cu2 after structural relaxation (PBE, the Alexandria database).

Unit cell a=7.979 b=7.979 c=3.043 alpha=90.00 beta=90.00 gamma=90.00
Fractional positions:
1 Tl 0.000 0.000 0.000
2 Tl 0.500 0.500 0.000
3 Cd 0.177 0.323 0.500
4 Cd 0.323 0.823 0.500
5 Cd 0.677 0.177 0.500
6 Cd 0.823 0.677 0.500
7 Cu 0.114 0.614 0.000
8 Cu 0.386 0.114 0.000
9 Cu 0.614 0.886 0.000
10 Cu 0.886 0.386 0.000

Computed properties:
Energy relative to the lowest polymorph listed for this composition (kJ/mol of formula units): 0.0
Symmetry: No. 127
N(E_F) (states/eV/f.u.): 1.2

***

# 10
# Dy5ScCd6

Dy5ScCd6 after structural relaxation (PBE, the Alexandria database).

Unit cell a=5.229 b=7.447 c=8.291 alpha=90.00 beta=108.28 gamma=90.00
Fractional positions:
1 Dy 0.000 0.000 0.000
2 Dy 0.330 0.000 0.661
3 Dy 0.334 0.500 0.668
4 Dy 0.666 0.500 0.332
5 Dy 0.670 0.000 0.339
6 Sc 0.000 0.500 0.000
7 Cd 0.163 0.257 0.324
8 Cd 0.163 0.743 0.324
9 Cd 0.500 0.258 0.000
10 Cd 0.500 0.742 0.000
11 Cd 0.837 0.257 0.676
12 Cd 0.837 0.743 0.676

Computed properties:
VASP energy (eV/atom): -3.2117
Symmetry: No. 10
N(E_F) (states/eV/f.u.): 13.4

***

# 11
# BeAl2Cu

BeAl2Cu after structural relaxation (PBE, the Alexandria database).

Unit cell a=4.311 b=4.311 c=5.021 alpha=102.15 beta=102.15 gamma=36.28
Fractional positions:
1 Be 0.000 0.000 0.000
2 Al 0.253 0.253 0.755
3 Al 0.747 0.747 0.245
4 Cu 0.500 0.500 0.500

Computed properties:
VASP energy (eV/atom): -3.7559
Symmetry: No. 12
N(E_F) (states/eV/f.u.): 1.3

***

# 12
# Ag2SbPt2

Ag2SbPt2 after structural relaxation (PBE, the Alexandria database).

Unit cell a=7.947 b=7.947 c=2.976 alpha=90.00 beta=90.00 gamma=90.00
Fractional positions:
1 Ag 0.125 0.375 0.000
2 Ag 0.375 0.875 0.000
3 Ag 0.625 0.125 0.000
4 Ag 0.875 0.625 0.000
5 Sb 0.000 0.000 0.000
6 Sb 0.500 0.500 0.000
7 Pt 0.172 0.672 0.500
8 Pt 0.328 0.172 0.500
9 Pt 0.672 0.828 0.500
10 Pt 0.828 0.328 0.500

Computed properties:
Formation energy from raw total energies (meV/atom): 150
Energy relative to the lowest polymorph listed for this composition (kJ/mol of formula units): 84.3
Symmetry: No. 127
N(E_F) (states/eV/f.u.): 2.6

***

# 13
# Ho4PPbS2

Ho4PPbS2 after structural relaxation (PBE, the Alexandria database).

Unit cell a=7.033 b=3.991 c=7.138 alpha=90.00 beta=109.17 gamma=90.00
Fractional positions:
1 Ho 0.235 0.000 0.226
2 Ho 0.250 0.500 0.764
3 Ho 0.750 0.500 0.236
4 Ho 0.765 0.000 0.774
5 P 0.500 0.000 0.000
6 Pb 0.500 0.500 0.500
7 S 0.000 0.000 0.500
8 S 0.000 0.500 0.000

Computed properties:
Formation energy from raw total energies (meV/atom): -1457
Symmetry: No. 10
N(E_F) (states/eV/f.u.): 2.6

***

# 14
# AcTb4PrEr2

AcTb4PrEr2 after structural relaxation (PBE, the Alexandria database).

Unit cell a=9.636 b=9.636 c=9.636 alpha=137.65 beta=103.49 gamma=91.58
Fractional positions:
1 Ac 0.500 0.000 0.000
2 Ac 0.500 0.500 0.500
3 Tb 0.231 0.746 0.485
4 Tb 0.238 0.240 0.502
5 Tb 0.238 0.735 0.998
6 Tb 0.239 0.254 0.985
7 Tb 0.761 0.746 0.015
8 Tb 0.762 0.265 0.002
9 Tb 0.762 0.760 0.498
10 Tb 0.769 0.254 0.515
11 Pr 0.000 0.000 0.000
12 Pr 0.500 0.000 0.500
13 Er 0.000 0.000 0.500
14 Er 0.000 0.500 0.000
15 Er 0.000 0.500 0.500
16 Er 0.500 0.500 0.000

Computed properties:
VASP energy (eV/atom): -4.1345
Symmetry: No. 74
N(E_F) (states/eV/f.u.): 18.4

***

# 15
# Li4Zn3Ir2

Li4Zn3Ir2 after structural relaxation (PBE, the Alexandria database).

Unit cell a=4.953 b=4.953 c=8.862 alpha=108.86 beta=108.86 gamma=36.95
Fractional positions:
1 Li 0.003 0.003 0.169
2 Li 0.330 0.330 0.613
3 Li 0.670 0.670 0.387
4 Li 0.997 0.997 0.831
5 Zn 0.000 0.000 0.500
6 Zn 0.331 0.331 0.943
7 Zn 0.669 0.669 0.057
8 Ir 0.338 0.338 0.277
9 Ir 0.662 0.662 0.723

Computed properties:
VASP energy (eV/atom): -3.4624
Symmetry: No. 12
N(E_F) (states/eV/f.u.): 2.6

***

# 16
# AcNdHoTm

AcNdHoTm after structural relaxation (PBE, the Alexandria database).

Unit cell a=3.685 b=3.685 c=12.116 alpha=98.71 beta=98.71 gamma=59.96
Fractional positions:
1 Ac 0.000 0.000 0.000
2 Nd 0.242 0.242 0.729
3 Ho 0.829 0.829 0.488
4 Tm 0.417 0.417 0.255

Computed properties:
Energy relative to the lowest polymorph listed for this composition (kJ/mol of formula units): 0.0
Symmetry: No. 8
N(E_F) (states/eV/f.u.): 5.2

***

# 17
# Ca2AlV

Ca2AlV after structural relaxation (PBE, the Alexandria database).

Unit cell a=6.637 b=6.637 c=6.637 alpha=102.01 beta=102.01 gamma=125.73
Fractional positions:
1 Ca 0.124 0.625 0.999
2 Ca 0.375 0.374 0.499
3 Ca 0.626 0.125 0.001
4 Ca 0.875 0.876 0.501
5 Al 0.250 0.750 0.500
6 Al 0.500 0.500 0.000
7 V 0.000 0.000 0.000
8 V 0.750 0.250 0.500

Computed properties:
VASP energy (eV/atom): -3.5979
Symmetry: No. 122
N(E_F) (states/eV/f.u.): 2.8

***

# 18
# Np4Ag

Np4Ag after structural relaxation (PBE, the Alexandria database).

Unit cell a=5.542 b=5.542 c=5.542 alpha=90.00 beta=90.00 gamma=90.00
Fractional positions:
1 Np 0.000 0.000 0.000
2 Np 0.000 0.500 0.500
3 Np 0.500 0.000 0.500
4 Np 0.500 0.500 0.000
5 Ag 0.500 0.500 0.500

Computed properties:
VASP energy (eV/atom): -9.1389
Symmetry: No. 221
N(E_F) (states/eV/f.u.): 44.5

***

# 19
# La2Pm6In

La2Pm6In after structural relaxation (PBE, the Alexandria database).

Unit cell a=5.693 b=10.060 c=12.040 alpha=90.00 beta=118.13 gamma=90.00
Fractional positions:
1 La 0.248 0.190 0.248
2 La 0.248 0.310 0.748
3 La 0.752 0.690 0.252
4 La 0.752 0.810 0.752
5 Pm 0.076 0.682 0.575
6 Pm 0.076 0.818 0.075
7 Pm 0.315 0.516 0.315
8 Pm 0.315 0.984 0.815
9 Pm 0.399 0.639 0.899
10 Pm 0.399 0.861 0.399
11 Pm 0.601 0.139 0.601
12 Pm 0.601 0.361 0.101
13 Pm 0.685 0.016 0.185
14 Pm 0.685 0.484 0.685
15 Pm 0.924 0.182 0.925
16 Pm 0.924 0.318 0.425
17 In 0.000 0.000 0.500
18 In 0.000 0.500 0.000

Computed properties:
Energy relative to the lowest polymorph listed for this composition (kJ/mol of formula units): 42.6
Symmetry: No. 14
N(E_F) (states/eV/f.u.): 12.6

***

# 20
# K5LaS4

K5LaS4 after structural relaxation (PBE, the Alexandria database).

Unit cell a=9.907 b=9.907 c=8.337 alpha=114.81 beta=114.81 gamma=26.71
Fractional positions:
1 K 0.000 0.000 0.000
2 K 0.327 0.327 0.084
3 K 0.327 0.327 0.570
4 K 0.673 0.673 0.430
5 K 0.673 0.673 0.916
6 La 0.000 0.000 0.500
7 S 0.176 0.176 0.677
8 S 0.500 0.500 0.270
9 S 0.500 0.500 0.730
10 S 0.824 0.824 0.323

Computed properties:
Formation energy from raw total energies (meV/atom): -1323
Symmetry: No. 12
N(E_F) (states/eV/f.u.): 0.0

***

# 21
# Rb2Cu2ReO6

Rb2Cu2ReO6 after structural relaxation (PBE, the Alexandria database).

Unit cell a=6.670 b=6.670 c=6.670 alpha=52.50 beta=52.50 gamma=52.50
Fractional positions:
1 Rb 0.216 0.216 0.216
2 Rb 0.784 0.784 0.784
3 Cu 0.403 0.403 0.403
4 Cu 0.597 0.597 0.597
5 Re 0.000 0.000 0.000
6 O 0.217 0.217 0.765
7 O 0.217 0.765 0.217
8 O 0.235 0.783 0.783
9 O 0.765 0.217 0.217
10 O 0.783 0.235 0.783
11 O 0.783 0.783 0.235

Computed properties:
Formation energy from raw total energies (meV/atom): -1282
Symmetry: No. 166
N(E_F) (states/eV/f.u.): 6.7

***

# 22
# TlSe2Cl2

TlSe2Cl2 after structural relaxation (PBE, the Alexandria database).

Unit cell a=10.832 b=10.832 c=10.832 alpha=160.35 beta=160.35 gamma=27.92
Fractional positions:
1 Tl 0.000 0.000 0.000
2 Se 0.250 0.750 0.500
3 Se 0.750 0.250 0.500
4 Cl 0.422 0.422 0.000
5 Cl 0.578 0.578 0.000

Computed properties:
Formation energy from raw total energies (meV/atom): -248
Energy relative to the lowest polymorph listed for this composition (kJ/mol of formula units): 0.0
Symmetry: No. 139
N(E_F) (states/eV/f.u.): 3.6

***

# 23
# Ac4Ag2Sn

Ac4Ag2Sn after structural relaxation (PBE, the Alexandria database).

Unit cell a=9.599 b=9.599 c=9.599 alpha=34.20 beta=34.20 gamma=34.20
Fractional positions:
1 Ac 0.120 0.120 0.120
2 Ac 0.372 0.372 0.372
3 Ac 0.628 0.628 0.628
4 Ac 0.880 0.880 0.880
5 Ag 0.250 0.250 0.250
6 Ag 0.750 0.750 0.750
7 Sn 0.500 0.500 0.500

Computed properties:
Energy relative to the lowest polymorph listed for this composition (kJ/mol of formula units): 31.9
Symmetry: No. 166
N(E_F) (states/eV/f.u.): 8.8

***

# 24
# CoNiP2

CoNiP2 after structural relaxation (PBE, the Alexandria database).

Unit cell a=6.140 b=6.140 c=6.140 alpha=131.92 beta=131.92 gamma=70.35
Fractional positions:
1 Co 0.000 0.000 0.000
2 Co 0.750 0.250 0.500
3 Ni 0.250 0.750 0.500
4 Ni 0.500 0.500 0.000
5 P 0.117 0.625 0.992
6 P 0.375 0.367 0.492
7 P 0.633 0.125 0.008
8 P 0.875 0.883 0.508

Computed properties:
Energy relative to the lowest polymorph listed for this composition (kJ/mol of formula units): 75.4
Symmetry: No. 122
N(E_F) (states/eV/f.u.): 2.9